DFT (PBE-GGA) results for a geometry-optimized Rb2Ho2TeO6 structure.

Properties
* electronic total energy: -6.27 eV/atom
* raw formation energy: -2273.1 meV/atom
* magnetic moment: 0.000 μB per atom

Lattice parameters (Å, degrees): 5.965 10.304 6.953 90.00 106.01 90.00
Space group C2/m (No. 12)
Inequivalent atoms, fractional coordinates:
Rb 0.000 0.166 0.000
Ho 0.000 0.335 0.500
Te 0.000 0.000 0.500
O 0.215 0.166 0.666
O 0.232 0.500 0.667